Record 1
First-principles (PBE) data for an optimized crystal structure of Cs2Ge2Se5, as listed in Alexandria.

Computed properties:
ρ ... 3631 kg/m3
Spin magnetization ... 0.000 μB/atom
Total DFT energy (no corrections) ... -3.816 eV per atom

abc: 23.3969 9.6064 6.6855
angles: 90.00 101.12 90.00
With the nearest neighbours (Å) after each atom.
Space group Cc (No. 9)
Unique sites:
Cs  0.0000  0.1324  0.0000 (multiplicity 4)  7 Se 3.60-3.95
Cs  0.2676  0.1964  0.1867 (multiplicity 4)  5 Se 3.62-3.92
Ge  0.1278  0.3800  0.5047 (multiplicity 4)  4 Se 2.29-2.46
Ge  0.4377  0.1353  0.9404 (multiplicity 4)  4 Se 2.30-2.46
Se  0.0357  0.2695  0.5333 (multiplicity 4)  2 Ge 2.43-2.44
Se  0.1320  0.3863  0.1396 (multiplicity 4)  2 Ge 2.41-2.46
Se  0.1927  0.2104  0.6394 (multiplicity 4)  1 Ge 2.29
Se  0.3897  0.3377  0.9872 (multiplicity 4)  1 Ge 2.30
Se  0.4070  0.0818  0.5761 (multiplicity 4)  2 Ge 2.44-2.46

Record 2
First-principles (PBE) data for an optimized crystal structure of CsGeSe3, as listed in Alexandria.

Computed properties:
ρ ... 4139 kg/m3
Spin magnetization ... 0.083 μB/atom
Total DFT energy (no corrections) ... -3.758 eV per atom

abc: 7.7431 14.2859 6.5118
angles: 90.00 99.74 90.00
With the nearest neighbours (Å) after each atom.
Space group P2_1/c (No. 14)
Unique sites:
Cs  0.2054  0.0463  0.3003 (multiplicity 4)  6 Se 3.62-3.96
Ge  0.3282  0.6930  0.4514 (multiplicity 4)  4 Se 2.34-2.41
Se  0.0419  0.7469  0.9445 (multiplicity 4)  1 Ge 2.37
Se  0.3363  0.5396  0.3270 (multiplicity 4)  1 Ge 2.34
Se  0.4992  0.1956  0.7046 (multiplicity 4)  2 Ge 2.41